A plane-wave DFT calculation with PBE was carried out for NiIr2Au after structural relaxation. Values from VASP.

The structure in Quantum ESPRESSO input format:
```
&SYSTEM
  ibrav = 0, nat = 4, ntyp = 3
/
ATOMIC_SPECIES
Ir 192.22 Ir.upf
Au 196.97 Au.upf
Ni 58.69 Ni.upf
CELL_PARAMETERS angstrom
-0.013 -3.838 2.081
0.593 -0.141 4.323
-3.326 -1.048 2.627
ATOMIC_POSITIONS angstrom
Ir -2.059 -3.770 6.773
Ir -0.686 -1.257 2.258
Au -1.373 -2.514 4.515
Ni 0.000 0.000 0.000
```

Output
total energy: -24.7 eV per cell
energy above the most stable polymorph in this dataset: 389 meV/atom
calculated formation energy: 0.515 eV per atom